Here is Na3LiNp3S8 after structural relaxation from Alexandria. Energies are from PBE-GGA.

Uncorrected formation energy   -28.8 kcal/mol of atoms
SG   C2/m
Final energy   -6.43 eV per atom

a = 7.8949 Å, b = 7.8949 Å, c = 8.0357 Å
α = 119.24°, β = 119.24°, γ = 59.95°
Fractional positions:
Na 0.0000 0.0000 0.0000
Na 0.0000 0.5000 0.0000
Na 0.5000 0.0000 0.0000
Li 0.0000 0.0000 0.5000
Np 0.0000 0.5000 0.5000
Np 0.5000 0.0000 0.5000
Np 0.5000 0.5000 0.5000
S 0.2427 0.2427 0.7136
S 0.2427 0.7303 0.7153
S 0.2551 0.2551 0.2677
S 0.2697 0.7573 0.2847
S 0.7303 0.2427 0.7153
S 0.7449 0.7449 0.7323
S 0.7573 0.2697 0.2847
S 0.7573 0.7573 0.2864

***

Here is Li2Cd2Pd after structural relaxation from Alexandria. Energies are from PBE-GGA.

Formation energy from the elements   -343.9 meV per atom
SG   C2/m
Final energy   -2.51 eV per atom

a = 5.3817 Å, b = 5.3817 Å, c = 7.9291 Å
α = 105.58°, β = 105.58°, γ = 50.44°
Fractional positions:
Li 0.0379 0.0379 0.3507
Li 0.1504 0.1504 0.0652
Li 0.8496 0.8496 0.9348
Li 0.9621 0.9621 0.6493
Cd 0.3367 0.3367 0.4553
Cd 0.4378 0.4378 0.1450
Cd 0.5622 0.5622 0.8550
Cd 0.6633 0.6633 0.5447
Pd 0.2492 0.2492 0.7711
Pd 0.7508 0.7508 0.2289

***

Here is LiSbTeI2 after structural relaxation from Alexandria. Energies are from PBE-GGA.

Uncorrected formation energy   -3.5 kcal/mol of atoms
SG   P4/mmm
Final energy   -2.61 eV per atom

a = 6.1345 Å, b = 6.1345 Å, c = 5.7674 Å
α = 90.00°, β = 90.00°, γ = 90.00°
Fractional positions:
Li 0.0000 0.0000 0.0000
Sb 0.5000 0.5000 0.5000
Te 0.5000 0.5000 0.0000
I 0.0000 0.5000 0.5000
I 0.5000 0.0000 0.5000

***

> Which formula does entry 2 have?

Li2Cd2Pd

***

> Which of these has the lowest final energy?

Na3LiNp3S8

***

> What is the formula in the second record?

Li2Cd2Pd